Record 1
Density functional theory data (PBE-GGA) for a relaxed Na3SbPd4 crystal.

a = 6.5670 Å, b = 6.5670 Å, c = 6.5670 Å
α = 95.73°, β = 104.36°, γ = 130.71°
Fractional positions:
Pd1 0.2063 0.7555 0.9619
Pd2 0.0537 0.7516 0.3021
Pd3 0.5505 0.2484 0.3021
Pd4 0.2063 0.2445 0.4508
Na1 0.5665 0.7470 0.3135
Na2 0.9294 0.0000 0.9294
Na3 0.5665 0.2530 0.8195
Sb1 0.0718 0.5000 0.5718

formation energy (no corrections)	-0.1794	eV per atom
SG	Imm2



Record 2
Density functional theory data (PBE-GGA) for a relaxed Na3Sb4Pd2 crystal.

a = 4.3641 Å, b = 6.3635 Å, c = 9.3231 Å
α = 97.35°, β = 90.00°, γ = 110.05°
Fractional positions:
Na1 0.6357 0.2714 0.4172
Na2 0.3643 0.7286 0.5828
Na3 0.0000 0.0000 0.0000
Sb1 0.0772 0.1543 0.6578
Sb2 0.9228 0.8457 0.3422
Sb3 0.7087 0.4175 0.1039
Sb4 0.2913 0.5825 0.8961
Pd1 0.6608 0.3216 0.8104
Pd2 0.3392 0.6784 0.1896

formation energy (no corrections)	-0.3594	eV per atom
SG	C2/m



Record 3
Density functional theory data (PBE-GGA) for a relaxed Na2Sb2Pd5 crystal.

a = 4.6434 Å, b = 4.6434 Å, c = 8.6076 Å
α = 90.00°, β = 90.00°, γ = 90.00°
Fractional positions:
Na1 0.0000 0.0000 0.0000
Na2 0.0000 0.0000 0.5000
Sb1 0.5000 0.5000 0.1717
Sb2 0.5000 0.5000 0.8283
Pd1 0.5000 0.0000 0.3068
Pd2 0.0000 0.5000 0.6932
Pd3 0.5000 0.0000 0.6932
Pd4 0.0000 0.5000 0.3068
Pd5 0.5000 0.5000 0.5000

formation energy (no corrections)	-0.3090	eV per atom
SG	P4/mmm



Record 4
Density functional theory data (PBE-GGA) for a relaxed NaSb6Pd12 crystal.

a = 7.5942 Å, b = 7.5942 Å, c = 7.5942 Å
α = 105.03°, β = 105.03°, γ = 105.03°
Fractional positions:
Na1 0.0000 0.0000 0.0000
Sb1 0.6888 0.2648 0.2648
Sb2 0.7352 0.7352 0.3112
Sb3 0.3112 0.7352 0.7352
Sb4 0.2648 0.2648 0.6888
Sb5 0.7352 0.3112 0.7352
Sb6 0.2648 0.6888 0.2648
Pd1 0.1186 0.8814 0.5000
Pd2 0.8814 0.5000 0.1186
Pd3 0.8610 0.6017 0.6017
Pd4 0.1390 0.3983 0.3983
Pd5 0.6017 0.8610 0.6017
Pd6 0.6017 0.6017 0.8610
Pd7 0.1186 0.5000 0.8814
Pd8 0.8814 0.1186 0.5000
Pd9 0.5000 0.8814 0.1186
Pd10 0.3983 0.3983 0.1390
Pd11 0.5000 0.1186 0.8814
Pd12 0.3983 0.1390 0.3983

formation energy (no corrections)	-0.3072	eV per atom
SG	R-3m



Record 5
Density functional theory data (PBE-GGA) for a relaxed Na2Sb2Pd crystal.

a = 7.0145 Å, b = 7.0145 Å, c = 5.1545 Å
α = 90.00°, β = 90.00°, γ = 90.00°
Fractional positions:
Sb1 0.1472 0.3528 0.0000
Sb2 0.6472 0.1472 0.0000
Sb3 0.8528 0.6472 0.0000
Sb4 0.3528 0.8528 0.0000
Na1 0.6694 0.8306 0.5000
Na2 0.1694 0.6694 0.5000
Na3 0.3306 0.1694 0.5000
Na4 0.8306 0.3306 0.5000
Pd1 0.5000 0.5000 0.0000
Pd2 0.0000 0.0000 0.0000

formation energy (no corrections)	-0.4187	eV per atom
SG	P4/mbm
E above lowest polymorph	0.00	kcal/mol of atoms



Record 6
Density functional theory data (PBE-GGA) for a relaxed Na6Sb2Pd crystal.

a = 5.3247 Å, b = 5.3247 Å, c = 10.4289 Å
α = 75.21°, β = 75.21°, γ = 60.00°
Fractional positions:
Pd1 0.0000 0.0000 0.0000
Na1 0.1941 0.1941 0.4176
Na2 0.3021 0.3021 0.0938
Na3 0.5810 0.5810 0.2569
Na4 0.6979 0.6979 0.9062
Na5 0.4190 0.4190 0.7431
Na6 0.8059 0.8059 0.5824
Sb1 0.0885 0.0885 0.7344
Sb2 0.9115 0.9115 0.2656

formation energy (no corrections)	-0.4028	eV per atom
SG	R-3m



Record 7
Density functional theory data (PBE-GGA) for a relaxed Na3Sb5Pd6 crystal.

a = 4.4377 Å, b = 9.7999 Å, c = 13.8245 Å
α = 90.00°, β = 90.00°, γ = 90.00°
Fractional positions:
Na1 0.5000 0.7586 0.8266
Na2 0.0000 0.2347 0.0000
Na3 0.5000 0.7653 0.5000
Na4 0.0000 0.2414 0.6734
Na5 0.0000 0.2414 0.3266
Na6 0.5000 0.7586 0.1734
Pd1 0.0000 0.5826 0.3026
Pd2 0.5000 0.4174 0.8026
Pd3 0.0000 0.5826 0.6974
Pd4 0.0000 0.9973 0.8340
Pd5 0.0000 0.9973 0.1660
Pd6 0.5000 0.0027 0.3340
Pd7 0.0000 0.0049 0.5000
Pd8 0.5000 0.0027 0.6660
Pd9 0.5000 0.9951 0.0000
Pd10 0.5000 0.4174 0.1974
Pd11 0.0000 0.5080 0.5000
Pd12 0.5000 0.4920 0.0000
Sb1 0.0000 0.5287 0.8848
Sb2 0.0000 0.5287 0.1152
Sb3 0.0000 0.8526 0.3350
Sb4 0.5000 0.1474 0.1650
Sb5 0.0000 0.8375 0.0000
Sb6 0.5000 0.1625 0.5000
Sb7 0.5000 0.4713 0.3848
Sb8 0.0000 0.8526 0.6650
Sb9 0.5000 0.1474 0.8350
Sb10 0.5000 0.4713 0.6152

formation energy (no corrections)	-0.4507	eV per atom
SG	Pmmn



Record 8
Density functional theory data (PBE-GGA) for a relaxed NaSb4Pd4 crystal.

a = 5.4366 Å, b = 8.9964 Å, c = 8.9964 Å
α = 90.00°, β = 90.00°, γ = 90.00°
Fractional positions:
Sb1 0.0829 0.8537 0.3764
Sb2 0.4171 0.3537 0.8764
Sb3 0.0829 0.1463 0.6236
Sb4 0.5829 0.8764 0.6463
Sb5 0.4171 0.6463 0.1236
Sb6 0.9171 0.6236 0.8537
Sb7 0.5829 0.1236 0.3537
Sb8 0.9171 0.3764 0.1463
Pd1 0.0803 0.8526 0.6850
Pd2 0.4197 0.6474 0.8150
Pd3 0.5803 0.8150 0.3526
Pd4 0.5803 0.1850 0.6474
Pd5 0.9197 0.6850 0.1474
Pd6 0.4197 0.3526 0.1850
Pd7 0.9197 0.3150 0.8526
Pd8 0.0803 0.1474 0.3150
Na1 0.0000 0.0000 0.0000
Na2 0.5000 0.5000 0.5000

formation energy (no corrections)	-0.3331	eV per atom
SG	P4_2/n



Record order is preserved below.
Spin magnetization: 0.00 0.00 0.00 0.00 0.00 0.00 0.00 0.00 μB/f.u.
Record order is preserved below.
N(E_F): 3.1 1.4 3.7 8.2 1.9 0.8 6.1 5.3 states/eV/f.u.